TlCd2Hg2 | meta-GGA SCAN | PBEsol geometry

Computed properties:
Energy of formation from the pure elements: 0.16 kcal/mol of atoms
Electronic total energy: -53.90 eV per atom

a = 3.147 Å, b = 8.674 Å, c = 8.674 Å
α = 90.00°, β = 90.00°, γ = 90.00°
Fractional coordinates of all 10 atoms:
Tl (0.000, 0.000, 0.000)
Tl (0.000, 0.500, 0.500)
Hg (0.000, 0.344, 0.844)
Hg (0.000, 0.844, 0.656)
Hg (0.000, 0.656, 0.156)
Hg (0.000, 0.156, 0.344)
Cd (0.500, 0.141, 0.641)
Cd (0.500, 0.641, 0.859)
Cd (0.500, 0.859, 0.359)
Cd (0.500, 0.359, 0.141)

---

Tl2CdHg | meta-GGA SCAN | PBEsol geometry

Computed properties:
Energy of formation from the pure elements: 0.67 kcal/mol of atoms
Electronic total energy: -60.80 eV per atom

a = 3.344 Å, b = 5.555 Å, c = 6.008 Å
α = 108.01°, β = 106.16°, γ = 90.00°
Fractional coordinates of all 4 atoms:
Tl (0.987, 0.965, 0.975)
Tl (0.764, 0.286, 0.529)
Hg (0.233, 0.768, 0.467)
Cd (0.515, 0.481, 0.030)

---

Tl2CdHg | meta-GGA SCAN | PBEsol geometry

Computed properties:
Energy of formation from the pure elements: 1.19 kcal/mol of atoms
Electronic total energy: -60.77 eV per atom

a = 5.252 Å, b = 5.252 Å, c = 5.252 Å
α = 60.00°, β = 60.00°, γ = 60.00°
Fractional coordinates of all 4 atoms:
Tl (0.250, 0.250, 0.250)
Tl (0.750, 0.750, 0.750)
Hg (0.500, 0.500, 0.500)
Cd (0.000, 0.000, 0.000)

---

Tl2CdHg | meta-GGA SCAN | PBEsol geometry

Computed properties:
Energy of formation from the pure elements: 1.59 kcal/mol of atoms
Electronic total energy: -60.76 eV per atom

a = 5.241 Å, b = 5.241 Å, c = 5.241 Å
α = 60.00°, β = 60.00°, γ = 60.00°
Fractional coordinates of all 4 atoms:
Tl (0.000, 0.000, 0.000)
Tl (0.750, 0.750, 0.750)
Hg (0.250, 0.250, 0.250)
Cd (0.500, 0.500, 0.500)

---

TlCd2Hg | meta-GGA SCAN | PBEsol geometry

Computed properties:
Energy of formation from the pure elements: 1.24 kcal/mol of atoms
Electronic total energy: -50.28 eV per atom

a = 3.470 Å, b = 5.240 Å, c = 6.109 Å
α = 115.39°, β = 106.50°, γ = 90.00°
Fractional coordinates of all 4 atoms:
Tl (0.000, 0.500, 0.000)
Hg (0.500, 0.000, 0.000)
Cd (0.761, 0.761, 0.522)
Cd (0.239, 0.239, 0.478)

---

Tl2CdHg | meta-GGA SCAN | PBEsol geometry

Computed properties:
Energy of formation from the pure elements: 0.40 kcal/mol of atoms
Electronic total energy: -60.81 eV per atom

a = 3.310 Å, b = 3.310 Å, c = 9.146 Å
α = 90.00°, β = 90.00°, γ = 90.00°
Fractional coordinates of all 4 atoms:
Tl (0.000, 0.000, 0.983)
Tl (0.500, 0.500, 0.270)
Hg (0.500, 0.500, 0.731)
Cd (0.000, 0.000, 0.517)

---

Tl2CdHg | meta-GGA SCAN | PBEsol geometry

Computed properties:
Energy of formation from the pure elements: 1.53 kcal/mol of atoms
Electronic total energy: -60.76 eV per atom

a = 4.400 Å, b = 4.400 Å, c = 11.399 Å
α = 101.13°, β = 101.13°, γ = 90.00°
Fractional coordinates of all 8 atoms:
Tl (0.874, 0.375, 0.250)
Tl (0.376, 0.875, 0.250)
Tl (0.625, 0.624, 0.750)
Tl (0.125, 0.126, 0.750)
Hg (0.250, 0.750, 0.500)
Hg (0.000, 0.000, 0.000)
Cd (0.750, 0.250, 0.500)
Cd (0.500, 0.500, 0.000)

---

Tl2CdHg | meta-GGA SCAN | PBEsol geometry

Computed properties:
Energy of formation from the pure elements: 1.22 kcal/mol of atoms
Electronic total energy: -60.77 eV per atom

a = 3.309 Å, b = 3.309 Å, c = 10.881 Å
α = 81.25°, β = 81.25°, γ = 60.00°
Fractional coordinates of all 4 atoms:
Tl (0.249, 0.249, 0.252)
Tl (0.751, 0.751, 0.748)
Hg (0.000, 0.000, 0.000)
Cd (0.500, 0.500, 0.500)

---

TlCd2Hg | meta-GGA SCAN | PBEsol geometry

Computed properties:
Energy of formation from the pure elements: 1.19 kcal/mol of atoms
Electronic total energy: -50.29 eV per atom

a = 3.212 Å, b = 4.842 Å, c = 6.244 Å
α = 90.00°, β = 103.20°, γ = 90.00°
Fractional coordinates of all 4 atoms:
Tl (0.277, 0.500, 0.722)
Hg (0.695, 0.000, 0.511)
Cd (0.971, 0.000, 0.046)
Cd (0.558, 0.500, 0.222)

---

Tl2CdHg | meta-GGA SCAN | PBEsol geometry

Computed properties:
Energy of formation from the pure elements: 1.22 kcal/mol of atoms
Electronic total energy: -60.77 eV per atom

a = 3.498 Å, b = 5.476 Å, c = 6.235 Å
α = 116.05°, β = 106.29°, γ = 90.00°
Fractional coordinates of all 4 atoms:
Tl (0.749, 0.749, 0.497)
Tl (0.251, 0.251, 0.503)
Hg (0.500, 0.000, 0.000)
Cd (0.000, 0.500, 0.000)

---

TlCd2Hg | meta-GGA SCAN | PBEsol geometry

Computed properties:
Energy of formation from the pure elements: 1.51 kcal/mol of atoms
Electronic total energy: -50.27 eV per atom

a = 3.211 Å, b = 3.211 Å, c = 10.219 Å
α = 90.00°, β = 90.00°, γ = 115.44°
Fractional coordinates of all 4 atoms:
Tl (0.500, 0.500, 0.249)
Hg (0.000, 0.000, 0.513)
Cd (0.000, 0.000, 0.986)
Cd (0.500, 0.500, 0.751)

---

TlCd2Hg | meta-GGA SCAN | PBEsol geometry

Computed properties:
Energy of formation from the pure elements: 1.03 kcal/mol of atoms
Electronic total energy: -50.29 eV per atom

a = 3.301 Å, b = 3.301 Å, c = 10.118 Å
α = 80.61°, β = 80.61°, γ = 60.00°
Fractional coordinates of all 4 atoms:
Tl (0.250, 0.250, 0.249)
Hg (0.495, 0.495, 0.514)
Cd (0.005, 0.005, 0.986)
Cd (0.750, 0.750, 0.751)

---

Tl2CdHg | meta-GGA SCAN | PBEsol geometry

Computed properties:
Energy of formation from the pure elements: 1.25 kcal/mol of atoms
Electronic total energy: -60.77 eV per atom

a = 3.251 Å, b = 6.100 Å, c = 6.100 Å
α = 117.17°, β = 99.51°, γ = 99.51°
Fractional coordinates of all 4 atoms:
Tl (0.000, 0.000, 0.500)
Tl (0.000, 0.500, 0.000)
Hg (0.500, 0.000, 0.000)
Cd (0.500, 0.500, 0.500)

---

Tl2CdHg | meta-GGA SCAN | PBEsol geometry

Computed properties:
Energy of formation from the pure elements: 1.22 kcal/mol of atoms
Electronic total energy: -60.77 eV per atom

a = 3.225 Å, b = 3.225 Å, c = 10.249 Å
α = 90.00°, β = 90.00°, γ = 106.11°
Fractional coordinates of all 4 atoms:
Tl (0.000, 0.000, 0.254)
Tl (0.000, 0.000, 0.746)
Hg (0.500, 0.500, 0.000)
Cd (0.500, 0.500, 0.500)

---

TlCd2Hg | meta-GGA SCAN | PBEsol geometry

Computed properties:
Energy of formation from the pure elements: 1.32 kcal/mol of atoms
Electronic total energy: -50.28 eV per atom

a = 3.194 Å, b = 5.545 Å, c = 6.255 Å
α = 116.58°, β = 105.23°, γ = 89.04°
Fractional coordinates of all 4 atoms:
Tl (0.000, 0.500, 0.000)
Hg (0.500, 0.000, 0.000)
Cd (0.000, 0.000, 0.500)
Cd (0.500, 0.500, 0.500)

---

Tl2CdHg | meta-GGA SCAN | PBEsol geometry

Computed properties:
Energy of formation from the pure elements: 0.70 kcal/mol of atoms
Electronic total energy: -60.79 eV per atom

a = 3.402 Å, b = 4.810 Å, c = 6.441 Å
α = 90.00°, β = 105.62°, γ = 90.00°
Fractional coordinates of all 4 atoms:
Tl (0.037, 0.000, 0.968)
Tl (0.715, 0.500, 0.283)
Hg (0.419, 0.500, 0.762)
Cd (0.328, 0.000, 0.487)

---

TlCd2Hg | meta-GGA SCAN | PBEsol geometry

Computed properties:
Energy of formation from the pure elements: 1.44 kcal/mol of atoms
Electronic total energy: -50.28 eV per atom

a = 3.226 Å, b = 3.226 Å, c = 10.171 Å
α = 90.00°, β = 90.00°, γ = 115.84°
Fractional coordinates of all 4 atoms:
Tl (0.500, 0.500, 0.000)
Hg (0.500, 0.500, 0.500)
Cd (0.000, 0.000, 0.263)
Cd (0.000, 0.000, 0.737)

---

TlCd2Hg | meta-GGA SCAN | PBEsol geometry

Computed properties:
Energy of formation from the pure elements: 1.25 kcal/mol of atoms
Electronic total energy: -50.28 eV per atom

a = 3.689 Å, b = 4.921 Å, c = 6.057 Å
α = 113.97°, β = 107.73°, γ = 90.00°
Fractional coordinates of all 4 atoms:
Tl (0.249, 0.749, 0.498)
Hg (0.490, 0.490, 0.979)
Cd (0.011, 0.011, 0.021)
Cd (0.751, 0.251, 0.501)

---

TlCd4Hg | meta-GGA SCAN | PBEsol geometry

Computed properties:
Energy of formation from the pure elements: 1.47 kcal/mol of atoms
Electronic total energy: -43.63 eV per atom

a = 5.822 Å, b = 5.822 Å, c = 5.822 Å
α = 60.00°, β = 60.00°, γ = 60.00°
Fractional coordinates of all 6 atoms:
Cd (0.375, 0.375, 0.375)
Cd (0.375, 0.375, 0.874)
Cd (0.874, 0.375, 0.375)
Cd (0.375, 0.874, 0.375)
Hg (0.750, 0.750, 0.750)
Tl (0.000, 0.000, 0.000)

---

TlCd2Hg | meta-GGA SCAN | PBEsol geometry

Computed properties:
Energy of formation from the pure elements: 1.15 kcal/mol of atoms
Electronic total energy: -50.29 eV per atom

a = 3.203 Å, b = 4.367 Å, c = 6.667 Å
α = 90.00°, β = 90.00°, γ = 90.00°
Fractional coordinates of all 4 atoms:
Tl (0.500, 0.500, 0.753)
Hg (0.000, 0.000, 0.479)
Cd (0.000, 0.000, 0.019)
Cd (0.500, 0.500, 0.249)